Record 1
Compound: Mn6V5Si
Source: Alexandria via LeMat-Bulk
Functional: PBE
Structure: relaxed Values from VASP.

Calculated values
As for the density of states at the Fermi level: 7.28 states/eV/f.u. Its crystal system is orthorhombic. For the uncorrected formation energy, the calculation gives -348 meV per atom.

Quantum ESPRESSO input file:
```
&SYSTEM
  ibrav = 0, nat = 12, ntyp = 3
/
ATOMIC_SPECIES
Mn 54.94 Mn.upf
V 50.94 V.upf
Si 28.09 Si.upf
ATOMIC_POSITIONS angstrom
Mn 0.000 0.000 1.419
Mn 0.000 0.000 4.307
Mn 2.023 2.035 1.431
Mn 2.023 2.035 4.295
Mn 2.023 -2.035 1.431
Mn 2.023 -2.035 4.295
V 2.023 4.093 2.863
V 2.023 4.038 0.000
V 2.023 0.000 0.000
V 2.023 -4.038 0.000
V 2.023 -4.093 2.863
Si 2.023 0.000 2.863
CELL_PARAMETERS angstrom
2.023 -6.069 0.000
2.023 6.069 0.000
0.000 0.000 5.726
```

***

Record 2
Compound: SbPd3Pb
Source: Alexandria via LeMat-Bulk
Functional: PBE
Structure: relaxed Values from VASP.

Calculated values
As for the density of states at the Fermi level: 2.12 states/eV/f.u. Its crystal system is cubic. For the energy above the most stable polymorph in this dataset, the calculation gives 1.919 eV/f.u. For the uncorrected formation energy, the calculation gives 87 meV per atom.

Quantum ESPRESSO input file:
```
&SYSTEM
  ibrav = 0, nat = 5, ntyp = 3
/
ATOMIC_SPECIES
Sb 121.76 Sb.upf
Pd 106.42 Pd.upf
Pb 207.20 Pb.upf
ATOMIC_POSITIONS angstrom
Sb 0.000 0.000 0.000
Pd 0.000 0.000 2.486
Pd 0.000 2.486 0.000
Pd 2.486 0.000 0.000
Pb 2.486 2.486 2.486
CELL_PARAMETERS angstrom
4.973 0.000 0.000
0.000 4.973 0.000
0.000 0.000 4.973
```

***

Record 3
Compound: Li2NiRu
Source: Alexandria via LeMat-Bulk
Functional: PBE
Structure: relaxed Values from VASP.

Calculated values
The calculation puts the formation energy at 422 meV/atom. As for the density of states at the Fermi level: 5.58 states/eV/f.u. Its crystal system is cubic. For the energy above the most stable polymorph in this dataset, the calculation gives 1.488 eV/f.u.

Quantum ESPRESSO input file:
```
&SYSTEM
  ibrav = 0, nat = 4, ntyp = 3
/
ATOMIC_SPECIES
Li 6.94 Li.upf
Ni 58.69 Ni.upf
Ru 101.07 Ru.upf
ATOMIC_POSITIONS angstrom
Li 1.437 1.437 1.437
Li 4.311 4.311 4.311
Ni 0.000 0.000 0.000
Ru 2.874 2.874 2.874
CELL_PARAMETERS angstrom
0.000 2.874 2.874
2.874 0.000 2.874
2.874 2.874 0.000
```

***

Record 4
Compound: AlPtBr2
Source: Alexandria via LeMat-Bulk
Functional: PBE
Structure: relaxed Values from VASP.

Calculated values
As for the density of states at the Fermi level: 1.55 states/eV/f.u. Its crystal system is orthorhombic. For the energy above the most stable polymorph in this dataset, the calculation gives 0.837 eV/f.u. For the uncorrected formation energy, the calculation gives -275 meV per atom.

Quantum ESPRESSO input file:
```
&SYSTEM
  ibrav = 0, nat = 4, ntyp = 3
/
ATOMIC_SPECIES
Al 26.98 Al.upf
Pt 195.08 Pt.upf
Br 79.90 Br.upf
ATOMIC_POSITIONS angstrom
Al 0.000 0.000 0.000
Pt 0.000 3.971 3.013
Br 1.575 0.000 1.895
Br 0.000 0.000 5.702
CELL_PARAMETERS angstrom
-1.575 3.971 4.843
1.575 -3.971 4.843
1.575 3.971 -4.843
```

***

Question: Number 4 is which compound?
Answer: AlPtBr2

***

Question: Which formula does entry 2 have?
Answer: SbPd3Pb

***

What did the second record say?
Compound: SbPd3Pb
Source: Alexandria via LeMat-Bulk
Functional: PBE
Structure: relaxed Values from VASP.

Calculated values
As for the density of states at the Fermi level: 2.12 states/eV/f.u. Its crystal system is cubic. For the energy above the most stable polymorph in this dataset, the calculation gives 1.919 eV/f.u. For the uncorrected formation energy, the calculation gives 87 meV per atom.

Quantum ESPRESSO input file:
```
&SYSTEM
  ibrav = 0, nat = 5, ntyp = 3
/
ATOMIC_SPECIES
Sb 121.76 Sb.upf
Pd 106.42 Pd.upf
Pb 207.20 Pb.upf
ATOMIC_POSITIONS angstrom
Sb 0.000 0.000 0.000
Pd 0.000 0.000 2.486
Pd 0.000 2.486 0.000
Pd 2.486 0.000 0.000
Pb 2.486 2.486 2.486
CELL_PARAMETERS angstrom
4.973 0.000 0.000
0.000 4.973 0.000
0.000 0.000 4.973
```